No. 1
# AcSm2TmBi4, optimized geometry, DFT PBE
data_AcSm2TmBi4
_cell_length_a 7.984
_cell_length_b 4.619
_cell_length_c 8.003
_cell_angle_alpha 90.00
_cell_angle_beta 109.41
_cell_angle_gamma 90.00
_symmetry_space_group_name_H-M 'P 1 2/m 1'
_symmetry_Int_Tables_number 10
loop_
_symmetry_equiv_pos_as_xyz
'x,y,z'
'-x,-y,-z'
'-x,y,-z'
'x,-y,z'
loop_
_atom_site_label
_atom_site_fract_x
_atom_site_fract_y
_atom_site_fract_z
Ac1 0.000 0.000 0.000
Sm1 0.000 0.500 0.500
Sm2 0.500 0.000 0.500
Tm1 0.500 0.500 0.000
Bi1 0.262 0.000 0.750
Bi2 0.265 0.500 0.259
# - DFT total energy (eV for the cell shown) = -40.55

---

No. 2
# ZrZnOs3, optimized geometry, DFT PBE
data_ZrZnOs3
_cell_length_a 4.844
_cell_length_b 4.844
_cell_length_c 4.844
_cell_angle_alpha 90.00
_cell_angle_beta 90.00
_cell_angle_gamma 90.00
_symmetry_space_group_name_H-M 'P m -3 m'
_symmetry_Int_Tables_number 221
_symmetry_space_group_name_Hall '-P 4 2 3'
loop_
_atom_site_label
_atom_site_fract_x
_atom_site_fract_y
_atom_site_fract_z
Zr1 0.000 0.000 0.000
Zn1 0.500 0.500 0.500
Os1 0.000 0.000 0.500
# - polymorph energy (0 for the lowest one) (meV per atom) = 1164.0

---

No. 3
# LiY2MgO, optimized geometry, DFT PBE
data_LiY2MgO
_cell_length_a 4.834
_cell_length_b 4.834
_cell_length_c 4.412
_cell_angle_alpha 90.00
_cell_angle_beta 90.00
_cell_angle_gamma 90.00
_symmetry_space_group_name_H-M 'P 4/m m m'
_symmetry_Int_Tables_number 123
_symmetry_space_group_name_Hall '-P 4 2'
loop_
_atom_site_label
_atom_site_fract_x
_atom_site_fract_y
_atom_site_fract_z
Li1 0.000 0.000 0.000
Y1 0.000 0.500 0.500
Mg1 0.500 0.500 0.000
O1 0.500 0.500 0.500
# - E_form (uncorrected) (eV/f.u.) = -4.9
# - polymorph energy (0 for the lowest one) (meV per atom) = 120.1

---

No. 4
# BaZr2Tl2, optimized geometry, DFT PBE
data_BaZr2Tl2
_cell_length_a 4.592
_cell_length_b 4.592
_cell_length_c 14.464
_cell_angle_alpha 90.00
_cell_angle_beta 90.00
_cell_angle_gamma 90.00
_symmetry_space_group_name_H-M 'I 4/m m m'
_symmetry_Int_Tables_number 139
_symmetry_space_group_name_Hall '-I 4 2'
loop_
_atom_site_label
_atom_site_fract_x
_atom_site_fract_y
_atom_site_fract_z
Ba1 0.000 0.000 0.000
Zr1 0.000 0.500 0.250
Tl1 0.000 0.000 0.388
# - polymorph energy (0 for the lowest one) (meV per atom) = 24.6

---

No. 5
# CuTeN, optimized geometry, DFT PBE
data_CuTeN
_cell_length_a 4.149
_cell_length_b 6.114
_cell_length_c 7.693
_cell_angle_alpha 90.00
_cell_angle_beta 90.00
_cell_angle_gamma 90.00
_symmetry_space_group_name_H-M 'I 21 21 21'
_symmetry_Int_Tables_number 24
loop_
_symmetry_equiv_pos_as_xyz
'x,y,z'
'-x,-y+1/2,z'
'x,-y,-z+1/2'
'-x,y+1/2,-z+1/2'
'x+1/2,y+1/2,z+1/2'
'-x+1/2,-y,z+1/2'
'x+1/2,-y+1/2,-z'
'-x+1/2,y,-z'
loop_
_atom_site_label
_atom_site_fract_x
_atom_site_fract_y
_atom_site_fract_z
Cu1 0.213 0.000 0.250
Te1 0.250 0.476 0.000
N1 0.000 0.250 0.844
# - E_form (uncorrected) (eV/f.u.) = 1.6
# - polymorph energy (0 for the lowest one) (meV per atom) = 50.2

---

No. 6
# LiCe2TaN5, optimized geometry, DFT PBE
data_LiCe2TaN5
_cell_length_a 3.304
_cell_length_b 13.304
_cell_length_c 10.107
_cell_angle_alpha 90.00
_cell_angle_beta 90.00
_cell_angle_gamma 90.00
_symmetry_space_group_name_H-M 'C m c 21'
_symmetry_Int_Tables_number 36
loop_
_symmetry_equiv_pos_as_xyz
'x,y,z'
'-x,-y,z+1/2'
'-x,y,z'
'x,-y,z+1/2'
'x+1/2,y+1/2,z'
'-x+1/2,-y+1/2,z+1/2'
'-x+1/2,y+1/2,z'
'x+1/2,-y+1/2,z+1/2'
loop_
_atom_site_label
_atom_site_fract_x
_atom_site_fract_y
_atom_site_fract_z
Li1 0.000 0.025 0.000
Ce1 0.000 0.369 0.831
Ce2 0.000 0.393 0.207
Ta1 0.000 0.300 0.534
N1 0.000 0.002 0.298
N2 0.000 0.143 0.524
N3 0.000 0.185 0.908
N4 0.000 0.218 0.184
N5 0.000 0.442 0.605
# - E_form (uncorrected) (eV/f.u.) = -8.8

---

Computed total moment (μB per cell) in order:
0.00 3.18 0.00 0.00 0.00 0.00